[1]
Density functional theory data (PBE-GGA) for a relaxed CaZn2CuHg crystal.

a b c (Å): 5.7764 5.9139 5.7764
angles (deg): 90.00 90.00 90.00
Closest atoms and distances in Å follow each position.
Fractional positions:
Zn 0.0000 0.0000 0.5000  2 Ca 2.89
Zn 0.5000 0.0000 0.0000  2 Ca 2.89
Ca 0.0000 0.0000 0.0000  4 Zn 2.89, 2 Hg 2.96
Hg 0.0000 0.5000 0.0000  2 Ca 2.96
Cu 0.5000 0.5000 0.5000  4 Hg 4.08, 8 Zn 4.13

Calculated values
ΔH_f (0 K), eV/atom: 0.896

=====

[2]
Density functional theory data (PBE-GGA) for a relaxed ZnCdTeO crystal.

a b c (Å): 7.0250 3.6263 8.7630
angles (deg): 90.00 103.69 90.00
Closest atoms and distances in Å follow each position.
Fractional positions:
Zn 0.2436 0.0000 0.6367  2 O 1.94
Zn 0.2436 0.5000 0.1367  2 O 1.94
Cd 0.6661 0.0000 0.2181  1 O 2.19
Cd 0.6661 0.5000 0.7181  1 O 2.19
Te 0.8512 0.0000 0.5433  1 Zn 2.68, 3 Cd 2.84-2.88
Te 0.8512 0.5000 0.0433  1 Zn 2.68, 3 Cd 2.84-2.88
O 0.3457 0.0000 0.1603  2 Zn 1.94
O 0.3457 0.5000 0.6603  2 Zn 1.94

Calculated values
Formation energy from raw total energies, meV per atom: -583
Relative energy among the computed polymorphs, meV/atom: 64

=====

[3]
Density functional theory data (PBE-GGA) for a relaxed K2ErNpO4 crystal.

a b c (Å): 3.5085 6.0803 6.6011
angles (deg): 107.94 90.00 90.00
Closest atoms and distances in Å follow each position.
Fractional positions:
K 0.5000 0.0000 0.5000  6 O 2.81
K 0.0000 0.5000 0.5000  6 O 2.84-2.85
Er 0.0000 0.0000 0.0000  6 O 2.32
Np 0.5000 0.5000 0.0000  6 O 2.35-2.37
O 0.5000 0.2225 0.1851  2 Er 2.32, 1 Np 2.37
O 0.5000 0.7775 0.8149  2 Er 2.32, 1 Np 2.37
O 0.0000 0.2659 0.8132  1 Er 2.32, 2 Np 2.35
O 0.0000 0.7341 0.1868  1 Er 2.32, 2 Np 2.35

Calculated values
Formation energy from raw total energies, meV per atom: -2478

=====

[4]
Density functional theory data (PBE-GGA) for a relaxed CaLaS2Cl crystal.

a b c (Å): 5.2189 5.2189 4.9044
angles (deg): 90.00 90.00 90.00
Closest atoms and distances in Å follow each position.
Fractional positions:
Ca 0.0000 0.0000 0.0000  2 Cl 2.45, 4 S 2.61
Cl 0.0000 0.0000 0.5000  2 Ca 2.45
S 0.0000 0.5000 0.0000  2 Ca 2.61
S 0.5000 0.0000 0.0000  2 Ca 2.61
La 0.5000 0.5000 0.5000  8 S 3.58, 4 Cl 3.69

Calculated values
Formation energy from raw total energies, meV per atom: -1555
Relative energy among the computed polymorphs, meV/atom: 18

=====

[5]
Density functional theory data (PBE-GGA) for a relaxed SrScIn crystal.

a b c (Å): 7.0554 7.0555 3.7826
angles (deg): 74.45 74.45 31.10
Closest atoms and distances in Å follow each position.
Fractional positions:
In 0.9767 0.9767 0.0233  4 Sc 3.03
Sc 0.3676 0.3676 0.6324  4 In 3.03
Sr 0.6557 0.6557 0.3443  4 In 3.55, 5 Sc 3.76-3.85, 4 Sr 3.78

Calculated values
ΔH_f (0 K), eV/atom: -0.153
Relative energy among the computed polymorphs, meV/atom: 162

=====

[6]
Density functional theory data (PBE-GGA) for a relaxed Zn2CoMo crystal.

a b c (Å): 4.2553 2.6374 4.9300
angles (deg): 78.37 90.00 90.00
Closest atoms and distances in Å follow each position.
Fractional positions:
Co 0.5000 0.2500 0.2500  4 Zn 2.51, 2 Mo 2.55, 2 Co 2.64
Mo 0.5000 0.7500 0.7500  2 Co 2.55, 2 Mo 2.64, 4 Zn 2.72
Zn 0.0000 0.0783 0.0136  2 Co 2.51, 5 Zn 2.57-2.67, 2 Mo 2.72
Zn 0.0000 0.4217 0.4864  2 Co 2.51, 5 Zn 2.57-2.67, 2 Mo 2.72

Calculated values
ΔH_f (0 K), eV/atom: 0.153
Relative energy among the computed polymorphs, meV/atom: 155

=====

[7]
Density functional theory data (PBE-GGA) for a relaxed Tb5DyHo2In crystal.

a b c (Å): 5.3656 10.3837 10.5316
angles (deg): 90.00 90.00 104.97
Closest atoms and distances in Å follow each position.
Fractional positions:
Tb 0.3825 0.7650 0.0082  4 Ho 3.47, 6 Tb 3.53-3.74, 1 Dy 3.53
Tb 0.7107 0.4213 0.8086  1 In 3.12, 2 Tb 3.29, 2 Dy 3.41, 3 Ho 3.43-3.48
Tb 0.5000 0.9999 0.7582  2 In 3.26, 2 Tb 3.53, 4 Ho 3.58
Tb 0.2894 0.5789 0.7080  1 In 3.12, 2 Tb 3.29, 2 Dy 3.41, 3 Ho 3.43-3.48
Tb 0.9875 0.9750 0.5082  2 In 3.16, 2 Ho 3.38-3.39
Tb 0.6175 0.2350 0.5082  4 Ho 3.47, 6 Tb 3.53-3.74, 1 Dy 3.53
Tb 0.2893 0.5787 0.3086  1 In 3.12, 2 Tb 3.29, 2 Dy 3.41, 3 Ho 3.43-3.48
Tb 0.5000 0.0001 0.2582  2 In 3.26, 2 Tb 3.53, 4 Ho 3.58
Tb 0.7106 0.4211 0.2080  1 In 3.12, 2 Tb 3.29, 2 Dy 3.41, 3 Ho 3.43-3.48
Tb 0.0125 0.0250 0.0082  2 In 3.16, 2 Ho 3.38-3.39
Dy 0.7937 0.5874 0.5083  7 Tb 3.41-3.58, 2 In 3.48, 2 Ho 3.57
Dy 0.2063 0.4126 0.0083  7 Tb 3.41-3.58, 2 In 3.48, 2 Ho 3.57
Ho 0.8842 0.7683 0.7997  9 Tb 3.38-3.70, 1 Dy 3.57
Ho 0.1159 0.2318 0.7168  9 Tb 3.39-3.70, 1 Dy 3.57
Ho 0.1158 0.2317 0.2997  9 Tb 3.38-3.70, 1 Dy 3.57
Ho 0.8841 0.7682 0.2168  9 Tb 3.39-3.70, 1 Dy 3.57
In 0.5956 0.1911 0.0081  6 Tb 3.12-3.26, 2 Dy 3.48
In 0.4044 0.8089 0.5081  6 Tb 3.12-3.26, 2 Dy 3.48

Calculated values
ΔH_f (0 K), eV/atom: -0.004

=====

[8]
Density functional theory data (PBE-GGA) for a relaxed Sb2SeBr crystal.

a b c (Å): 5.8138 5.8138 5.8138
angles (deg): 133.69 133.69 67.58
Closest atoms and distances in Å follow each position.
Fractional positions:
Br 0.7500 0.2500 0.5000  8 Sb 3.23-3.33, 4 Se 3.33
Sb 0.0000 0.0000 0.0000  4 Se 3.23, 4 Br 3.33, 4 Sb 3.33
Sb 0.2500 0.7500 0.5000  4 Br 3.23, 4 Se 3.33, 4 Sb 3.33
Se 0.5000 0.5000 0.0000  8 Sb 3.23-3.33, 4 Br 3.33

Calculated values
Formation energy from raw total energies, meV per atom: 257
Relative energy among the computed polymorphs, meV/atom: 396